A) This record from OQMD via LeMat-Bulk describes a geometry-optimized DyTmGa2 structure. The functional is PBE.

The space group is Cmcm (No. 63) and the conventional cell measures 4.358, 12.916 and 6.601 Å, with angles of 90.00, 90.00 and 90.00 degrees. The inequivalent atoms are Dy at (0.000, 0.054, 0.250), Tm at (0.000, 0.222, 0.750) and Ga at (0.000, 0.400, 0.054).

The total magnetic moment is 0.01 μB per formula unit.


B) This record from OQMD via LeMat-Bulk describes a geometry-optimized DyTmGa2 structure. The functional is PBE.

The space group is Cmcm (No. 63) and the conventional cell measures 7.092, 10.027 and 5.004 Å, with angles of 90.00, 90.00 and 90.00 degrees. The inequivalent atoms are Dy at (0.000, 0.129, 0.250), Tm at (0.000, 0.373, 0.750) and Ga at (0.248, 0.379, 0.250).

The total magnetic moment is 0.00 μB per formula unit.


A) is favored, and the nearest alternative lies 55 meV/atom above it.


A) This record from OQMD via LeMat-Bulk describes a geometry-optimized DyYGa4 structure. The functional is PBE.

The space group is Immm (No. 71) and the conventional cell measures 4.215, 7.296 and 8.182 Å, with angles of 90.00, 90.00 and 90.00 degrees. The inequivalent atoms are Dy at (0.000, 0.000, 0.000), Y at (0.000, 0.000, 0.500) and Ga at (0.000, 0.333, 0.251).

The total magnetic moment is 0.01 μB per formula unit.


B) This record from OQMD via LeMat-Bulk describes a geometry-optimized DyYGa4 structure. The functional is PBE.

The space group is Cmcm (No. 63) and the conventional cell measures 4.105, 18.654 and 6.485 Å, with angles of 90.00, 90.00 and 90.00 degrees. The inequivalent atoms are Dy at (0.000, 0.235, 0.250), Y at (0.000, 0.091, 0.750), Ga at (0.000, 0.070, 0.250), Ga at (0.000, 0.355, 0.545) and Ga at (0.000, 0.500, 0.000).

The total magnetic moment is 0.00 μB per formula unit.


A) is favored, and the nearest alternative lies 85 meV/atom above it.